# 1
A PBEsol-optimized structure of Ba2SbAu2. Source: the Alexandria database, functional SCAN.

E_form (uncorrected) = -0.77 eV/atom
Total moment = 0.000 μB per atom
Space group = I4/mmm (139)
E_tot = -258.5 eV for the cell shown

Lattice parameters (Å, degrees): 9.821 9.821 9.821 156.35 156.35 33.69
Sites, in units of the cell vectors:
Ba  0.108  0.108  0.000
Ba  0.892  0.892  0.000
Sb  0.500  0.500  0.000
Au  0.250  0.750  0.500
Au  0.750  0.250  0.500



# 2
A PBEsol-optimized structure of BaSb3Au. Source: the Alexandria database, functional SCAN.

E_form (uncorrected) = 1.44 eV/atom
Total moment = 0.000 μB per atom
Space group = Pm-3m (221)
E_tot = -213.3 eV for the cell shown

Lattice parameters (Å, degrees): 6.040 6.040 6.040 90.00 90.00 90.00
Sites, in units of the cell vectors:
Ba  0.000  0.000  0.000
Sb  0.000  0.000  0.500
Sb  0.000  0.500  0.000
Sb  0.500  0.000  0.000
Au  0.500  0.500  0.500



# 3
A PBEsol-optimized structure of BaSb2Au2. Source: the Alexandria database, functional SCAN.

E_form (uncorrected) = -0.76 eV/atom
Total moment = 0.000 μB per atom
Space group = P2_1/m (11)
E_tot = -512.3 eV for the cell shown

Lattice parameters (Å, degrees): 4.931 4.817 10.905 90.00 91.17 90.00
Sites, in units of the cell vectors:
Ba  0.239  0.250  0.245
Ba  0.761  0.750  0.755
Sb  0.252  0.750  0.499
Sb  0.306  0.250  0.878
Sb  0.694  0.750  0.122
Sb  0.748  0.250  0.501
Au  0.189  0.750  0.000
Au  0.250  0.250  0.630
Au  0.750  0.750  0.370
Au  0.811  0.250  0.000



# 4
A PBEsol-optimized structure of BaSb2TeAu. Source: the Alexandria database, functional SCAN.

E_form (uncorrected) = -0.35 eV/atom
Total moment = 0.000 μB per atom
Space group = P4/mmm (123)
E_tot = -222.2 eV for the cell shown

Lattice parameters (Å, degrees): 5.355 5.355 5.635 90.00 90.00 90.00
Sites, in units of the cell vectors:
Ba  0.000  0.000  0.000
Sb  0.000  0.500  0.500
Sb  0.500  0.000  0.500
Te  0.500  0.500  0.000
Au  0.500  0.500  0.500



# 5
A PBEsol-optimized structure of BaSc2Au. Source: the Alexandria database, functional SCAN.

Energy above the lowest structure with this stoichiometry = 0.0600 eV per atom
Energy relative to the elements = 1.02 kcal/mol of atoms
Total moment = 0.000 μB per atom
Space group = P4/mmm (123)
E_tot = -137.0 eV for the cell shown

Lattice parameters (Å, degrees): 5.015 5.015 3.732 90.00 90.00 90.00
Sites, in units of the cell vectors:
Ba  0.000  0.000  0.000
Sc  0.000  0.500  0.500
Sc  0.500  0.000  0.500
Au  0.500  0.500  0.000



# 6
A PBEsol-optimized structure of Ba2ScAu. Source: the Alexandria database, functional SCAN.

Energy above the lowest structure with this stoichiometry = 0.0000 eV per atom
Energy relative to the elements = 0.80 kcal/mol of atoms
Total moment = 0.001 μB per atom
Space group = F-43m (216)
E_tot = -162.4 eV for the cell shown

Lattice parameters (Å, degrees): 5.475 5.475 5.475 60.00 60.00 60.00
Sites, in units of the cell vectors:
Ba  0.000  0.000  0.000
Ba  0.250  0.250  0.250
Sc  0.500  0.500  0.500
Au  0.750  0.750  0.750



# 7
A PBEsol-optimized structure of Ba2ScAu. Source: the Alexandria database, functional SCAN.

Energy above the lowest structure with this stoichiometry = 0.0332 eV per atom
Energy relative to the elements = 1.57 kcal/mol of atoms
Total moment = 0.190 μB per atom
Space group = I-4m2 (119)
E_tot = -162.2 eV for the cell shown

Lattice parameters (Å, degrees): 6.602 6.602 6.602 138.16 138.16 60.66
Sites, in units of the cell vectors:
Ba  0.000  0.000  0.000
Ba  0.750  0.250  0.500
Sc  0.500  0.500  0.000
Au  0.250  0.750  0.500



# 8
A PBEsol-optimized structure of BaScAu2. Source: the Alexandria database, functional SCAN.

Energy above the lowest structure with this stoichiometry = 0.0568 eV per atom
Energy relative to the elements = -12.56 kcal/mol of atoms
Total moment = 0.000 μB per atom
Space group = Fm-3m (225)
E_tot = -194.3 eV for the cell shown

Lattice parameters (Å, degrees): 5.185 5.185 5.185 60.00 60.00 60.00
Sites, in units of the cell vectors:
Ba  0.000  0.000  0.000
Sc  0.500  0.500  0.500
Au  0.250  0.250  0.250
Au  0.750  0.750  0.750



# 9
A PBEsol-optimized structure of BaScAu2. Source: the Alexandria database, functional SCAN.

Energy above the lowest structure with this stoichiometry = 0.0000 eV per atom
Energy relative to the elements = -13.87 kcal/mol of atoms
Total moment = 0.000 μB per atom
Space group = Immm (71)
E_tot = -194.5 eV for the cell shown

Lattice parameters (Å, degrees): 5.286 5.286 5.286 126.44 114.68 89.34
Sites, in units of the cell vectors:
Ba  0.000  0.000  0.000
Sc  0.500  0.500  0.000
Au  0.297  0.797  0.500
Au  0.703  0.203  0.500



# 10
A PBEsol-optimized structure of BaSc2Au. Source: the Alexandria database, functional SCAN.

Energy above the lowest structure with this stoichiometry = 0.0000 eV per atom
Energy relative to the elements = -0.36 kcal/mol of atoms
Total moment = 0.286 μB per atom
Space group = P4/mmm (123)
E_tot = -137.2 eV for the cell shown

Lattice parameters (Å, degrees): 4.524 4.524 5.020 90.00 90.00 90.00
Sites, in units of the cell vectors:
Ba  0.000  0.000  0.000
Sc  0.000  0.500  0.500
Sc  0.500  0.000  0.500
Au  0.500  0.500  0.000



# 11
A PBEsol-optimized structure of Ba2Sc2Au. Source: the Alexandria database, functional SCAN.

Energy relative to the elements = 16.55 kcal/mol of atoms
Total moment = 0.001 μB per atom
Space group = I4/mmm (139)
E_tot = -173.1 eV for the cell shown

Lattice parameters (Å, degrees): 9.127 9.127 9.127 153.21 153.21 38.25
Sites, in units of the cell vectors:
Ba  0.250  0.750  0.500
Ba  0.750  0.250  0.500
Sc  0.075  0.075  0.000
Sc  0.925  0.925  0.000
Au  0.500  0.500  0.000



# 12
A PBEsol-optimized structure of BaScAu2. Source: the Alexandria database, functional SCAN.

Energy above the lowest structure with this stoichiometry = 0.0474 eV per atom
Energy relative to the elements = -12.78 kcal/mol of atoms
Total moment = 0.000 μB per atom
Space group = P4mm (99)
E_tot = -194.3 eV for the cell shown

Lattice parameters (Å, degrees): 3.664 3.664 7.676 90.00 90.00 90.00
Sites, in units of the cell vectors:
Ba  0.000  0.000  0.000
Sc  0.500  0.500  0.395
Au  0.000  0.000  0.534
Au  0.500  0.500  0.743



# 13
A PBEsol-optimized structure of BaAuSe2. Source: the Alexandria database, functional SCAN.

Energy above the lowest structure with this stoichiometry = 0.0000 eV per atom
E_form (uncorrected) = -1.17 eV/atom
Total moment = 0.000 μB per atom
Space group = Pm (6)
E_tot = -153.6 eV for the cell shown

Lattice parameters (Å, degrees): 4.340 5.102 5.101 90.00 90.04 90.00
Sites, in units of the cell vectors:
Ba  0.000  0.000  0.000
Au  0.596  0.500  0.497
Se  0.511  0.000  0.500
Se  0.511  0.500  0.997



# 14
A PBEsol-optimized structure of BaAu2Se. Source: the Alexandria database, functional SCAN.

E_form (uncorrected) = -0.75 eV/atom
Total moment = 0.000 μB per atom
Space group = Imm2 (44)
E_tot = -201.0 eV for the cell shown

Lattice parameters (Å, degrees): 5.369 5.369 5.369 130.68 113.17 87.41
Sites, in units of the cell vectors:
Ba  0.000  0.000  0.000
Au  0.303  0.803  0.500
Au  0.530  0.530  0.000
Se  0.693  0.193  0.500



# 15
A PBEsol-optimized structure of BaAuSe2. Source: the Alexandria database, functional SCAN.

Energy above the lowest structure with this stoichiometry = 0.3430 eV per atom
E_form (uncorrected) = -0.83 eV/atom
Total moment = 0.000 μB per atom
Space group = R-3m (166)
E_tot = -152.2 eV for the cell shown

Lattice parameters (Å, degrees): 6.400 6.400 6.400 41.40 41.40 41.40
Sites, in units of the cell vectors:
Ba  0.000  0.000  0.000
Au  0.500  0.500  0.500
Se  0.227  0.227  0.227
Se  0.773  0.773  0.773



# 16
A PBEsol-optimized structure of BaAuSe2. Source: the Alexandria database, functional SCAN.

Energy above the lowest structure with this stoichiometry = 0.5579 eV per atom
E_form (uncorrected) = -0.61 eV/atom
Total moment = 0.001 μB per atom
Space group = I4/mmm (139)
E_tot = -151.3 eV for the cell shown

Lattice parameters (Å, degrees): 5.183 5.183 5.183 120.24 120.24 89.58
Sites, in units of the cell vectors:
Ba  0.000  0.000  0.000
Au  0.500  0.500  0.000
Se  0.250  0.750  0.500
Se  0.750  0.250  0.500



# 17
A PBEsol-optimized structure of BaSiAu3. Source: the Alexandria database, functional SCAN.

Energy above the lowest structure with this stoichiometry = 0.0502 eV per atom
E_form (uncorrected) = -0.64 eV/atom
Total moment = 0.000 μB per atom
Space group = Pm-3m (221)
E_tot = -260.2 eV for the cell shown

Lattice parameters (Å, degrees): 4.904 4.904 4.904 90.00 90.00 90.00
Sites, in units of the cell vectors:
Ba  0.000  0.000  0.000
Si  0.500  0.500  0.500
Au  0.000  0.500  0.500
Au  0.500  0.000  0.500
Au  0.500  0.500  0.000



# 18
A PBEsol-optimized structure of BaSiAu3. Source: the Alexandria database, functional SCAN.

Energy above the lowest structure with this stoichiometry = 0.0000 eV per atom
E_form (uncorrected) = -0.69 eV/atom
Total moment = 0.000 μB per atom
Space group = P4/nmm (129)
E_tot = -521.0 eV for the cell shown

Lattice parameters (Å, degrees): 6.476 6.476 5.244 90.00 90.00 90.00
Sites, in units of the cell vectors:
Ba  0.250  0.750  0.000
Ba  0.750  0.250  0.000
Si  0.250  0.250  0.300
Si  0.750  0.750  0.700
Au  0.000  0.000  0.500
Au  0.000  0.500  0.500
Au  0.250  0.250  0.837
Au  0.500  0.000  0.500
Au  0.500  0.500  0.500
Au  0.750  0.750  0.163



# 19
A PBEsol-optimized structure of BaSiAu2. Source: the Alexandria database, functional SCAN.

E_form (uncorrected) = -0.67 eV/atom
Total moment = 0.000 μB per atom
Space group = I4_1/amd (141)
E_tot = -381.2 eV for the cell shown

Lattice parameters (Å, degrees): 8.909 8.909 8.909 145.50 145.50 49.59
Sites, in units of the cell vectors:
Ba  0.375  0.625  0.750
Ba  0.625  0.375  0.250
Si  0.125  0.875  0.250
Si  0.875  0.125  0.750
Au  0.000  0.000  0.000
Au  0.000  0.000  0.500
Au  0.000  0.500  0.000
Au  0.500  0.000  0.500



# 20
A PBEsol-optimized structure of BaSiAu2. Source: the Alexandria database, functional SCAN.

E_form (uncorrected) = -0.67 eV/atom
Total moment = 0.000 μB per atom
Space group = Pm (6)
E_tot = -190.6 eV for the cell shown

Lattice parameters (Å, degrees): 4.743 4.571 4.989 90.00 93.50 90.00
Sites, in units of the cell vectors:
Ba  0.000  0.000  0.000
Si  0.678  0.500  0.446
Au  0.175  0.500  0.545
Au  0.512  0.000  0.484



no.,density (g cm⁻³)
1,8.62
2,5.27
3,9.94
4,7.25
5,7.50
6,7.39
7,6.77
8,9.71
9,9.37
10,6.86
11,6.05
12,9.28
13,7.24
14,9.85
15,7.89
16,8.33
17,10.65
18,11.42
19,8.23
20,8.60